(1)
Computed, not measured: a relaxed structure of Nd6Y2Sc at the GGA-PBE level of DFT.

POSCAR file:
```
Nd6Y2Sc
1.0
-2.649 -2.039 1.569
2.712 -8.495 -4.660
2.515 2.577 9.395
Y Nd Sc
2 6 1
direct
0.500 0.153 0.847
0.500 0.847 0.153
0.812 0.506 0.162
0.188 0.838 0.494
0.676 0.683 0.683
0.812 0.162 0.506
0.324 0.317 0.317
0.188 0.494 0.838
0.000 0.000 0.000
```

Properties
Space group   C2/m, No. 12
DFT formation energy   0.0981 eV per atom
Density   6.0 g cm⁻³


(2)
Computed, not measured: a relaxed structure of Nd7Y3Sc at the GGA-PBE level of DFT.

POSCAR file:
```
Nd7Y3Sc
1.0
-8.156 4.039 4.361
5.799 -8.323 0.786
6.543 5.256 7.370
Nd Y Sc
14 6 2
direct
0.585 0.901 0.456
0.092 0.418 0.983
0.908 0.582 0.483
0.348 0.172 0.250
0.416 0.099 0.542
0.215 0.300 0.750
0.804 0.634 0.750
0.908 0.583 0.017
0.092 0.417 0.517
0.785 0.700 0.250
0.584 0.901 0.042
0.196 0.366 0.250
0.415 0.099 0.956
0.652 0.828 0.750
0.768 0.240 0.750
0.241 0.735 0.750
0.759 0.265 0.250
0.232 0.760 0.250
0.000 0.001 0.001
0.000 0.999 0.501
0.500 0.500 0.000
0.500 0.500 0.500
```

Properties
Space group   P2_1, No. 4
DFT formation energy   0.1183 eV per atom
Density   5.8 g cm⁻³